*w*
! GGA-PBE Zr2Al3Si, optimized geometry; values from VASP
! DOS(E_F) = 0.923 states/eV/atom
&SYSTEM
  ibrav = 0, nat = 6, ntyp = 3
/
ATOMIC_SPECIES
Zr 91.22 Zr.upf
Al 26.98 Al.upf
Si 28.09 Si.upf
CELL_PARAMETERS angstrom
5.291 0.000 0.000
-2.645 4.582 0.000
0.000 0.000 5.024
ATOMIC_POSITIONS crystal
Zr 0.333 0.667 0.000
Zr 0.667 0.333 0.000
Al 0.000 0.500 0.500
Al 0.500 0.000 0.500
Al 0.500 0.500 0.500
Si 0.000 0.000 0.000

***

*x*
! GGA-PBE Zr2Al3Si, optimized geometry; values from VASP
! DOS(E_F) = 0.371 states/eV/atom
&SYSTEM
  ibrav = 0, nat = 12, ntyp = 3
/
ATOMIC_SPECIES
Zr 91.22 Zr.upf
Al 26.98 Al.upf
Si 28.09 Si.upf
CELL_PARAMETERS angstrom
8.386 0.000 0.000
-4.193 7.263 0.000
0.000 0.000 3.541
ATOMIC_POSITIONS crystal
Zr 0.000 0.000 0.000
Zr 0.000 0.500 0.000
Zr 0.500 0.000 0.000
Zr 0.500 0.500 0.000
Al 0.168 0.337 0.500
Al 0.168 0.832 0.500
Al 0.337 0.168 0.500
Al 0.663 0.832 0.500
Al 0.832 0.168 0.500
Al 0.832 0.663 0.500
Si 0.333 0.667 0.500
Si 0.667 0.333 0.500

***

Which one sits at the top of the stability order? *x* does.

***

*w*
! GGA-PBE Zr2Al3Si, optimized geometry; values from VASP
! DOS(E_F) = 0.395 states/eV/atom
&SYSTEM
  ibrav = 0, nat = 12, ntyp = 3
/
ATOMIC_SPECIES
Zr 91.22 Zr.upf
Al 26.98 Al.upf
Si 28.09 Si.upf
CELL_PARAMETERS angstrom
4.135 0.000 0.000
0.000 12.739 0.000
0.000 0.000 4.023
ATOMIC_POSITIONS crystal
Zr 0.000 0.147 0.000
Zr 0.000 0.853 0.000
Zr 0.500 0.353 0.000
Zr 0.500 0.647 0.000
Al 0.000 0.325 0.500
Al 0.000 0.500 0.000
Al 0.000 0.675 0.500
Al 0.500 0.000 0.000
Al 0.500 0.175 0.500
Al 0.500 0.825 0.500
Si 0.000 0.000 0.500
Si 0.500 0.500 0.500

***

*x*
! GGA-PBE Zr2Al3Si, optimized geometry; values from VASP
! DOS(E_F) = 0.611 states/eV/atom
&SYSTEM
  ibrav = 0, nat = 12, ntyp = 3
/
ATOMIC_SPECIES
Zr 91.22 Zr.upf
Al 26.98 Al.upf
Si 28.09 Si.upf
CELL_PARAMETERS angstrom
5.199 0.000 0.000
-2.599 4.502 0.000
0.000 0.000 8.781
ATOMIC_POSITIONS crystal
Zr 0.333 0.667 0.065
Zr 0.333 0.667 0.435
Zr 0.667 0.333 0.565
Zr 0.667 0.333 0.935
Al 0.169 0.339 0.750
Al 0.169 0.831 0.750
Al 0.339 0.169 0.250
Al 0.661 0.831 0.750
Al 0.831 0.169 0.250
Al 0.831 0.661 0.250
Si 0.000 0.000 0.000
Si 0.000 0.000 0.500

***

Which one sits at the top of the stability order? *w* does.

***

*w*
! GGA-PBE Zr4AlSi2, optimized geometry; values from VASP
! DOS(E_F) = 0.818 states/eV/atom
&SYSTEM
  ibrav = 0, nat = 7, ntyp = 3
/
ATOMIC_SPECIES
Zr 91.22 Zr.upf
Al 26.98 Al.upf
Si 28.09 Si.upf
CELL_PARAMETERS angstrom
4.636 0.000 0.000
-2.318 4.015 0.000
0.000 0.000 8.951
ATOMIC_POSITIONS crystal
Zr 0.333 0.667 0.318
Zr 0.333 0.667 0.905
Zr 0.667 0.333 0.095
Zr 0.667 0.333 0.682
Al 0.000 0.000 0.000
Si 0.333 0.667 0.613
Si 0.667 0.333 0.387

***

*x*
! GGA-PBE Zr4AlSi2, optimized geometry; values from VASP
! DOS(E_F) = 0.919 states/eV/atom
&SYSTEM
  ibrav = 0, nat = 14, ntyp = 3
/
ATOMIC_SPECIES
Zr 91.22 Zr.upf
Al 26.98 Al.upf
Si 28.09 Si.upf
CELL_PARAMETERS angstrom
4.110 0.000 0.000
-2.055 3.560 0.000
0.000 0.000 24.600
ATOMIC_POSITIONS crystal
Zr 0.000 0.000 0.000
Zr 0.000 0.000 0.247
Zr 0.000 0.000 0.500
Zr 0.000 0.000 0.747
Zr 0.333 0.667 0.148
Zr 0.333 0.667 0.924
Zr 0.667 0.333 0.424
Zr 0.667 0.333 0.648
Al 0.000 0.000 0.362
Al 0.000 0.000 0.862
Si 0.333 0.667 0.041
Si 0.333 0.667 0.698
Si 0.667 0.333 0.198
Si 0.667 0.333 0.541

***

*y*
! GGA-PBE Zr4AlSi2, optimized geometry; values from VASP
! DOS(E_F) = 0.783 states/eV/atom
&SYSTEM
  ibrav = 0, nat = 14, ntyp = 3
/
ATOMIC_SPECIES
Zr 91.22 Zr.upf
Al 26.98 Al.upf
Si 28.09 Si.upf
CELL_PARAMETERS angstrom
6.851 0.000 0.000
0.000 3.920 0.000
-2.722 0.000 10.515
ATOMIC_POSITIONS crystal
Zr 0.058 0.250 0.130
Zr 0.111 0.250 0.431
Zr 0.411 0.750 0.346
Zr 0.426 0.750 0.863
Zr 0.574 0.250 0.137
Zr 0.589 0.250 0.654
Zr 0.889 0.750 0.569
Zr 0.942 0.750 0.870
Al 0.155 0.250 0.715
Al 0.845 0.750 0.285
Si 0.294 0.750 0.080
Si 0.310 0.750 0.588
Si 0.690 0.250 0.412
Si 0.706 0.250 0.920

***

*z*
! GGA-PBE Zr4AlSi2, optimized geometry; values from VASP
! DOS(E_F) = 0.761 states/eV/atom
&SYSTEM
  ibrav = 0, nat = 14, ntyp = 3
/
ATOMIC_SPECIES
Zr 91.22 Zr.upf
Al 26.98 Al.upf
Si 28.09 Si.upf
CELL_PARAMETERS angstrom
2.324 -2.016 0.000
2.324 2.016 0.000
-0.949 0.000 28.763
ATOMIC_POSITIONS crystal
Zr 0.229 0.229 0.176
Zr 0.236 0.236 0.309
Zr 0.242 0.242 0.044
Zr 0.268 0.268 0.458
Zr 0.732 0.732 0.542
Zr 0.758 0.758 0.956
Zr 0.764 0.764 0.691
Zr 0.771 0.771 0.824
Al 0.248 0.248 0.616
Al 0.752 0.752 0.384
Si 0.257 0.257 0.891
Si 0.270 0.270 0.757
Si 0.730 0.730 0.243
Si 0.743 0.743 0.109

***

Which one sits at the top of the stability order? *y* does.

***

*w*
! GGA-PBE ZrAl2Si3, optimized geometry; values from VASP
! DOS(E_F) = 0.439 states/eV/atom
&SYSTEM
  ibrav = 0, nat = 12, ntyp = 3
/
ATOMIC_SPECIES
Zr 91.22 Zr.upf
Al 26.98 Al.upf
Si 28.09 Si.upf
CELL_PARAMETERS angstrom
5.702 0.000 0.000
-2.851 4.938 0.000
0.000 0.000 6.896
ATOMIC_POSITIONS crystal
Zr 0.333 0.667 0.388
Zr 0.667 0.333 0.612
Al 0.000 0.000 0.000
Al 0.000 0.500 0.000
Al 0.500 0.000 0.000
Al 0.500 0.500 0.000
Si 0.154 0.307 0.700
Si 0.154 0.846 0.700
Si 0.307 0.154 0.300
Si 0.693 0.846 0.700
Si 0.846 0.154 0.300
Si 0.846 0.693 0.300

***

*x*
! GGA-PBE ZrAl2Si3, optimized geometry; values from VASP
! DOS(E_F) = 0.709 states/eV/atom
&SYSTEM
  ibrav = 0, nat = 6, ntyp = 3
/
ATOMIC_SPECIES
Zr 91.22 Zr.upf
Al 26.98 Al.upf
Si 28.09 Si.upf
CELL_PARAMETERS angstrom
5.172 0.000 0.000
-2.586 4.479 0.000
0.000 0.000 4.258
ATOMIC_POSITIONS crystal
Zr 0.000 0.000 0.000
Al 0.333 0.667 0.000
Al 0.667 0.333 0.000
Si 0.000 0.500 0.500
Si 0.500 0.000 0.500
Si 0.500 0.500 0.500

***

Which one sits at the top of the stability order? *w* does.

***

*w*
! GGA-PBE ZrAl2Si3, optimized geometry; values from VASP
! DOS(E_F) = 0.312 states/eV/atom
&SYSTEM
  ibrav = 0, nat = 12, ntyp = 3
/
ATOMIC_SPECIES
Zr 91.22 Zr.upf
Al 26.98 Al.upf
Si 28.09 Si.upf
CELL_PARAMETERS angstrom
2.364 -4.573 0.000
2.364 4.573 0.000
0.000 0.000 9.512
ATOMIC_POSITIONS crystal
Zr 0.000 0.000 0.000
Zr 0.000 0.000 0.500
Al 0.310 0.690 0.584
Al 0.310 0.690 0.916
Al 0.690 0.310 0.084
Al 0.690 0.310 0.416
Si 0.152 0.848 0.250
Si 0.154 0.350 0.250
Si 0.350 0.154 0.750
Si 0.650 0.846 0.250
Si 0.846 0.650 0.750
Si 0.848 0.152 0.750

***

*x*
! GGA-PBE ZrAl2Si3, optimized geometry; values from VASP
! DOS(E_F) = 0.311 states/eV/atom
&SYSTEM
  ibrav = 0, nat = 12, ntyp = 3
/
ATOMIC_SPECIES
Zr 91.22 Zr.upf
Al 26.98 Al.upf
Si 28.09 Si.upf
CELL_PARAMETERS angstrom
9.047 0.000 0.000
-4.524 7.835 0.000
0.000 0.000 2.853
ATOMIC_POSITIONS crystal
Zr 0.333 0.667 0.000
Zr 0.667 0.333 0.000
Al 0.000 0.000 0.500
Al 0.000 0.500 0.500
Al 0.500 0.000 0.500
Al 0.500 0.500 0.500
Si 0.171 0.342 0.500
Si 0.171 0.829 0.500
Si 0.342 0.171 0.500
Si 0.658 0.829 0.500
Si 0.829 0.171 0.500
Si 0.829 0.658 0.500

***

Which one sits at the top of the stability order? *x* does.

***

*w*
! GGA-PBE Zr2AlSi3, optimized geometry; values from VASP
! DOS(E_F) = 0.390 states/eV/atom
&SYSTEM
  ibrav = 0, nat = 12, ntyp = 3
/
ATOMIC_SPECIES
Zr 91.22 Zr.upf
Al 26.98 Al.upf
Si 28.09 Si.upf
CELL_PARAMETERS angstrom
3.653 0.000 0.000
0.000 14.647 0.000
0.000 0.000 3.889
ATOMIC_POSITIONS crystal
Zr 0.000 0.148 0.000
Zr 0.000 0.852 0.000
Zr 0.500 0.352 0.000
Zr 0.500 0.648 0.000
Al 0.000 0.000 0.500
Al 0.500 0.500 0.500
Si 0.000 0.307 0.500
Si 0.000 0.500 0.000
Si 0.000 0.693 0.500
Si 0.500 0.000 0.000
Si 0.500 0.193 0.500
Si 0.500 0.807 0.500

***

*x*
! GGA-PBE Zr2AlSi3, optimized geometry; values from VASP
! DOS(E_F) = 0.657 states/eV/atom
&SYSTEM
  ibrav = 0, nat = 12, ntyp = 3
/
ATOMIC_SPECIES
Zr 91.22 Zr.upf
Al 26.98 Al.upf
Si 28.09 Si.upf
CELL_PARAMETERS angstrom
6.101 0.000 0.000
-3.050 5.283 0.000
0.000 0.000 6.636
ATOMIC_POSITIONS crystal
Zr 0.000 0.000 0.000
Zr 0.000 0.500 0.000
Zr 0.500 0.000 0.000
Zr 0.500 0.500 0.000
Al 0.333 0.667 0.365
Al 0.667 0.333 0.635
Si 0.156 0.311 0.659
Si 0.156 0.844 0.659
Si 0.311 0.156 0.341
Si 0.689 0.844 0.659
Si 0.844 0.156 0.341
Si 0.844 0.689 0.341

***

Which one sits at the top of the stability order? *w* does.

***

*w*
! GGA-PBE Zr2AlSi3, optimized geometry; values from VASP
! DOS(E_F) = 0.569 states/eV/atom
&SYSTEM
  ibrav = 0, nat = 6, ntyp = 3
/
ATOMIC_SPECIES
Zr 91.22 Zr.upf
Al 26.98 Al.upf
Si 28.09 Si.upf
CELL_PARAMETERS angstrom
5.307 0.000 0.000
-2.653 4.596 0.000
0.000 0.000 4.653
ATOMIC_POSITIONS crystal
Zr 0.333 0.667 0.000
Zr 0.667 0.333 0.000
Al 0.000 0.000 0.000
Si 0.000 0.500 0.500
Si 0.500 0.000 0.500
Si 0.500 0.500 0.500

***

*x*
! GGA-PBE Zr2AlSi3, optimized geometry; values from VASP
! DOS(E_F) = 0.626 states/eV/atom
&SYSTEM
  ibrav = 0, nat = 12, ntyp = 3
/
ATOMIC_SPECIES
Zr 91.22 Zr.upf
Al 26.98 Al.upf
Si 28.09 Si.upf
CELL_PARAMETERS angstrom
5.228 0.000 0.000
-2.614 4.528 0.000
0.000 0.000 8.167
ATOMIC_POSITIONS crystal
Zr 0.333 0.667 0.057
Zr 0.333 0.667 0.443
Zr 0.667 0.333 0.557
Zr 0.667 0.333 0.943
Al 0.000 0.000 0.000
Al 0.000 0.000 0.500
Si 0.176 0.351 0.750
Si 0.176 0.824 0.750
Si 0.351 0.176 0.250
Si 0.649 0.824 0.750
Si 0.824 0.176 0.250
Si 0.824 0.649 0.250

***

Which one sits at the top of the stability order? *x* does.

***

*w*
! GGA-PBE Zr3Al2Si3, optimized geometry; values from VASP
! DOS(E_F) = 0.306 states/eV/atom
&SYSTEM
  ibrav = 0, nat = 8, ntyp = 3
/
ATOMIC_SPECIES
Zr 91.22 Zr.upf
Al 26.98 Al.upf
Si 28.09 Si.upf
CELL_PARAMETERS angstrom
6.586 0.000 0.000
-3.293 5.703 0.000
0.000 0.000 3.789
ATOMIC_POSITIONS crystal
Zr 0.000 0.334 0.000
Zr 0.334 0.000 0.000
Zr 0.666 0.666 0.000
Al 0.333 0.667 0.500
Al 0.667 0.333 0.500
Si 0.000 0.738 0.500
Si 0.262 0.262 0.500
Si 0.738 0.000 0.500

***

*x*
! GGA-PBE Zr3Al2Si3, optimized geometry; values from VASP
! DOS(E_F) = 0.470 states/eV/atom
&SYSTEM
  ibrav = 0, nat = 16, ntyp = 3
/
ATOMIC_SPECIES
Zr 91.22 Zr.upf
Al 26.98 Al.upf
Si 28.09 Si.upf
CELL_PARAMETERS angstrom
5.293 0.000 0.000
-2.288 6.840 0.000
-2.401 -2.815 8.449
ATOMIC_POSITIONS crystal
Zr 0.068 0.290 0.391
Zr 0.219 0.400 0.077
Zr 0.367 0.981 0.221
Zr 0.633 0.019 0.779
Zr 0.781 0.600 0.923
Zr 0.932 0.710 0.609
Al 0.058 0.350 0.733
Al 0.333 0.726 0.921
Al 0.667 0.274 0.079
Al 0.942 0.650 0.267
Si 0.150 0.007 0.902
Si 0.245 0.992 0.494
Si 0.409 0.608 0.654
Si 0.591 0.392 0.346
Si 0.755 0.008 0.506
Si 0.850 0.993 0.098

***

Which one sits at the top of the stability order? *w* does.